First-principles (GGA-PBE) data for a relaxed structure of Ba2HPdI, as listed in Alexandria.

Computed properties:
- E: -0.25703 Ry per atom
- D(E_F): 0.66 states/eV per atom
- SG: P4/mmm
- Theoretical density: 6.07 g cm⁻³

CIF file:
```
data_Ba2HPdI
_chemical_formula_sum 'Ba2 H1 Pd1 I1'
_symmetry_space_group_name_H-M 'P 1'
_symmetry_Int_Tables_number 1
_symmetry_space_group_name_Hall 'P 1'
_cell_length_a 5.946
_cell_length_b 5.946
_cell_length_c 3.940
_cell_angle_alpha 90.00
_cell_angle_beta 90.00
_cell_angle_gamma 90.00
loop_
_atom_site_label
_atom_site_type_symbol
_atom_site_fract_x
_atom_site_fract_y
_atom_site_fract_z
Pd1 Pd 0.000 0.000 0.500
H1 H 0.000 0.000 0.000
Ba1 Ba 0.000 0.500 0.000
Ba2 Ba 0.500 0.000 0.000
I1 I 0.500 0.500 0.500
```